Computed, not measured: a relaxed structure of Re2HgSb at the PBEsol level of DFT.

Properties
V = 17.42 A^3/atom
Formation energy (no corrections) = 3.305 eV per formula unit
ΔE to the lowest computed polymorph = 2.09 eV per formula unit
Mass density = 16.56 g cm⁻³
Total DFT energy (no corrections) = -7.121 eV per atom
SG = C2/m, No. 12

Structure (extended XYZ):
```
4
Lattice="3.039 0.000 0.000 -1.519 4.390 0.013 0.000 -1.042 5.221" Properties=species:S:1:pos:R:3 pbc="T T T"
Hg 1.519 0.000 0.000
Re 1.519 1.404 3.781
Re 0.000 1.944 1.453
Sb 0.000 -0.521 2.611
```


Computed, not measured: a relaxed structure of HfTc at the PBEsol level of DFT.

Properties
ΔH_f (0 K) = -459 meV/atom
V = 16.70 A^3/atom
Mass density = 13.75 g cm⁻³
Total DFT energy (no corrections) = -11.344 eV per atom
SG = Pm-3m, No. 221

Structure (extended XYZ):
```
2
Lattice="3.220 0.000 0.000 0.000 3.220 0.000 0.000 0.000 3.220" Properties=species:S:1:pos:R:3 pbc="T T T"
Hf 1.610 1.610 1.610
Tc 0.000 0.000 0.000
```


Computed, not measured: a relaxed structure of ZnSiSb at the PBEsol level of DFT.

Properties
V = 21.80 A^3/atom
Formation energy (no corrections) = 1.213 eV per formula unit
Mass density = 5.47 g cm⁻³
Total DFT energy (no corrections) = -3.558 eV per atom
SG = F-43m, No. 216

Structure (extended XYZ):
```
3
Lattice="4.522 0.000 0.000 2.261 3.917 0.000 2.261 1.306 3.693" Properties=species:S:1:pos:R:3 pbc="T T T"
Sb 4.522 2.611 1.846
Zn 0.000 0.000 0.000
Si 6.784 3.917 2.769
```


Computed, not measured: a relaxed structure of Sc2NiIr at the PBEsol level of DFT.

Properties
ΔH_f (0 K) = -786 meV/atom
V = 15.82 A^3/atom
ΔE to the lowest computed polymorph = 0.00 eV per formula unit
Mass density = 8.95 g cm⁻³
Total DFT energy (no corrections) = -8.083 eV per atom
SG = Fm-3m, No. 225

Structure (extended XYZ):
```
4
Lattice="4.473 0.000 0.000 2.236 3.873 0.000 2.236 1.291 3.652" Properties=species:S:1:pos:R:3 pbc="T T T"
Sc 2.236 1.291 0.913
Sc 6.709 3.873 2.739
Ni 0.000 0.000 0.000
Ir 4.473 2.582 1.826
```


Computed, not measured: a relaxed structure of CsCr3I at the PBEsol level of DFT.

Properties
V = 45.45 A^3/atom
Formation energy (no corrections) = 11.841 eV per formula unit
Mass density = 3.04 g cm⁻³
Total DFT energy (no corrections) = -4.319 eV per atom
SG = Pm-3m, No. 221

Structure (extended XYZ):
```
5
Lattice="-2.919 2.795 4.572 -4.198 -4.429 0.027 3.331 -3.132 4.041" Properties=species:S:1:pos:R:3 pbc="T T T"
Cs 0.000 0.000 0.000
I -1.893 -2.383 4.320
Cr -2.099 -2.214 0.014
Cr 1.665 -1.566 2.021
Cr -1.459 1.398 2.286
```


Computed, not measured: a relaxed structure of AsPRh2 at the PBEsol level of DFT.

Properties
ΔH_f (0 K) = 28 meV/atom
V = 14.27 A^3/atom
ΔE to the lowest computed polymorph = 1.79 eV per formula unit
Mass density = 9.07 g cm⁻³
Total DFT energy (no corrections) = -6.765 eV per atom
SG = C2/m, No. 12

Structure (extended XYZ):
```
4
Lattice="2.866 -0.017 -0.026 -1.419 4.734 -0.124 -1.419 -2.016 4.285" Properties=species:S:1:pos:R:3 pbc="T T T"
As 0.014 1.350 2.067
P 1.433 -0.009 -0.013
Rh -0.709 -1.008 2.143
Rh -0.709 2.367 -0.062
```


Computed, not measured: a relaxed structure of YTa2P at the PBEsol level of DFT.

Properties
ΔH_f (0 K) = -67 meV/atom
V = 18.23 A^3/atom
Mass density = 10.97 g cm⁻³
Total DFT energy (no corrections) = -9.496 eV per atom
SG = P2/m, No. 10

Structure (extended XYZ):
```
4
Lattice="3.479 0.000 0.000 0.000 4.405 0.061 0.000 -1.099 4.743" Properties=species:S:1:pos:R:3 pbc="T T T"
P 0.000 1.653 2.402
Ta 0.000 0.000 0.000
Ta 1.739 2.202 0.031
Y 1.739 -0.550 2.371
```


Computed, not measured: a relaxed structure of Ti2Nb2Sb3O14 at the PBEsol level of DFT.

Properties
V = 12.53 A^3/atom
Formation energy (no corrections) = -45.852 eV per formula unit
Mass density = 5.50 g cm⁻³
Total DFT energy (no corrections) = -8.157 eV per atom
SG = C2/c, No. 15

Structure (extended XYZ):
```
42
Lattice="-3.695 -3.089 -0.029 0.084 -0.153 5.529 -10.809 16.674 1.191" Properties=species:S:1:pos:R:3 pbc="T T T"
Ti -6.014 9.255 2.356
Ti -8.406 4.177 4.335
Ti -6.398 5.968 1.586
Ti -8.022 7.464 5.105
Nb -9.896 13.543 1.556
Nb -4.524 -0.111 5.135
Nb -2.874 1.380 2.384
Nb -11.546 12.052 4.307
Sb -6.508 2.336 2.208
Sb -7.912 11.096 4.483
Sb -9.601 9.796 1.706
Sb -4.818 3.636 4.985
Sb -2.953 -2.524 1.359
Sb -0.658 -0.718 4.141
O -10.519 15.569 1.545
O -3.901 -2.137 5.146
O -0.990 0.408 2.404
O -13.430 13.024 4.287
O -7.893 9.947 2.767
O -6.527 3.485 3.924
O -6.046 3.999 1.164
O -8.374 9.433 5.527
O -9.376 7.543 1.166
O -5.044 5.889 5.525
O -4.995 6.042 2.761
O -9.425 7.390 3.930
O -7.948 5.549 2.628
O -6.472 7.883 4.063
O -6.690 7.812 1.297
O -7.730 5.620 5.394
O -3.413 -0.220 1.378
O -11.007 13.653 5.313
O -11.576 13.288 2.544
O -2.844 0.144 4.147
O -2.330 2.443 0.955
O -12.090 10.989 5.736
O -12.462 10.790 2.969
O -1.958 2.642 3.722
O -9.389 11.774 1.053
O -5.030 1.659 5.638
O -4.530 2.189 2.878
O -9.890 11.243 3.813
```


Computed, not measured: a relaxed structure of Ba2WO5 at the PBEsol level of DFT.

Properties
V = 15.19 A^3/atom
Formation energy (no corrections) = -21.613 eV per formula unit
Mass density = 7.36 g cm⁻³
Total DFT energy (no corrections) = -8.246 eV per atom
SG = Pnma, No. 62

Structure (extended XYZ):
```
32
Lattice="-0.170 4.438 -3.591 -2.436 -4.444 -5.377 -10.866 2.138 3.155" Properties=species:S:1:pos:R:3 pbc="T T T"
Ba -10.787 1.625 0.247
Ba -2.684 0.506 -6.060
Ba -8.396 -1.307 -3.489
Ba -5.075 3.439 -2.324
Ba -9.051 2.735 -3.006
Ba -4.421 -0.603 -2.807
Ba -11.046 0.665 -5.469
Ba -2.426 1.466 -0.344
W -1.272 2.680 -3.441
W -12.199 -0.548 -2.372
W -6.498 1.246 -4.966
W -6.974 0.886 -0.847
O -6.358 1.560 -6.781
O -7.195 2.718 -0.768
O -2.129 1.059 -3.207
O -11.261 -1.074 -0.869
O -7.113 0.572 0.968
O -6.276 -0.586 -5.044
O -11.343 1.073 -2.606
O -2.211 3.205 -4.944
O -5.030 0.991 -0.809
O -8.441 1.141 -5.004
O -2.794 -1.911 -4.500
O -10.678 4.043 -1.312
O -0.085 2.219 -1.796
O 0.000 0.000 0.000
O -6.651 -1.153 -1.111
O -6.736 1.066 -2.906
O -2.311 3.639 -2.207
O -11.160 -1.507 -3.606
O -4.713 1.649 -4.552
O -8.759 0.482 -1.261
```


Computed, not measured: a relaxed structure of Sr2ScTaO6 at the PBEsol level of DFT.

Properties
V = 12.98 A^3/atom
Formation energy (no corrections) = -32.523 eV per formula unit
Mass density = 6.36 g cm⁻³
Total DFT energy (no corrections) = -8.686 eV per atom
SG = P2_1/c, No. 14

Structure (extended XYZ):
```
20
Lattice="-1.310 0.740 -5.480 4.627 -2.956 -1.505 -4.292 -6.779 0.120" Properties=species:S:1:pos:R:3 pbc="T T T"
Sr -0.170 -2.367 -6.140
Sr -0.805 -6.628 -0.726
Sr 2.783 -4.210 -4.208
Sr -3.759 -4.785 -2.658
Sc 0.000 0.000 0.000
Sc -0.488 -4.497 -3.433
Ta -2.146 -3.389 0.060
Ta 1.658 -1.108 -3.493
O -1.130 -1.726 -0.336
O 0.154 -7.269 -6.530
O 0.751 -2.841 -3.132
O -1.726 -6.154 -3.734
O 2.163 -1.771 -5.299
O -3.139 -7.224 -1.567
O -1.959 -3.266 -4.266
O 0.983 -5.729 -2.600
O -0.028 -0.376 -4.260
O -0.948 -8.619 -2.606
O 0.341 -4.731 -5.340
O -1.317 -4.264 -1.526
```


Computed, not measured: a relaxed structure of SiSb8 at the PBEsol level of DFT.

Properties
V = 25.50 A^3/atom
Formation energy (no corrections) = 1.960 eV per formula unit
Mass density = 7.25 g cm⁻³
Total DFT energy (no corrections) = -4.472 eV per atom
SG = I4/mmm, No. 139

Structure (extended XYZ):
```
9
Lattice="-2.348 -2.459 1.434 2.174 -6.933 -3.578 3.905 -2.661 6.578" Properties=species:S:1:pos:R:3 pbc="T T T"
Sb 1.267 -3.478 5.606
Sb 0.290 -1.642 2.406
Sb 3.226 -7.179 2.470
Sb 0.035 -6.519 -1.623
Sb 2.760 -5.487 -0.140
Sb -0.209 -2.873 -0.521
Sb 0.505 -4.874 1.964
Sb 3.319 -4.107 3.140
Si 0.000 0.000 0.000
```


Computed, not measured: a relaxed structure of Mg2ZnW at the PBEsol level of DFT.

Properties
ΔH_f (0 K) = 249 meV/atom
V = 16.75 A^3/atom
Mass density = 7.38 g cm⁻³
Total DFT energy (no corrections) = -4.457 eV per atom
SG = P4/mmm, No. 123

Structure (extended XYZ):
```
4
Lattice="2.756 0.000 0.000 0.000 2.756 0.000 0.000 0.000 8.823" Properties=species:S:1:pos:R:3 pbc="T T T"
Mg 0.000 0.000 6.605
Mg 0.000 0.000 2.217
W 1.378 1.378 0.000
Zn 1.378 1.378 4.411
```


Computed, not measured: a relaxed structure of Li5ReO6 at the PBEsol level of DFT.

Properties
V = 8.51 A^3/atom
Formation energy (no corrections) = -23.797 eV per formula unit
Mass density = 5.15 g cm⁻³
Total DFT energy (no corrections) = -6.538 eV per atom
SG = P3_112, No. 151

Structure (extended XYZ):
```
36
Lattice="5.015 0.000 0.000 -2.508 4.343 0.000 0.000 0.000 14.069" Properties=species:S:1:pos:R:3 pbc="T T T"
Li 2.508 3.377 9.379
Li 2.508 0.382 2.345
Li -0.829 3.374 11.724
Li 0.829 3.374 7.034
Li 1.584 1.981 11.724
Li 4.179 0.483 4.690
Li 2.508 3.480 2.345
Li 0.835 3.378 0.000
Li 0.000 1.938 2.345
Li -0.835 3.378 4.690
Li 4.267 0.432 11.724
Li 0.837 0.483 0.000
Li 0.000 1.931 9.379
Li 3.431 1.981 7.034
Li 0.748 0.432 7.034
Re 2.508 0.488 9.379
Re 1.677 1.927 4.690
Re 3.338 1.927 0.000
O 0.122 1.933 5.787
O 0.963 0.473 10.481
O 2.579 3.273 12.967
O 4.052 0.473 8.277
O -0.895 3.272 1.097
O 4.124 0.597 1.102
O 0.891 0.597 3.587
O 3.210 1.938 3.606
O 0.773 3.482 10.476
O 1.805 1.938 1.083
O 0.895 3.272 3.592
O 2.581 0.594 12.986
O 2.436 3.273 5.792
O 1.732 1.811 8.296
O -0.122 1.933 12.972
O -0.773 3.482 8.282
O 3.284 1.811 10.462
O 2.434 0.594 5.773
```


Computed, not measured: a relaxed structure of Cd2Hg3 at the PBEsol level of DFT.

Properties
ΔH_f (0 K) = -6 meV/atom
V = 22.05 A^3/atom
ΔE to the lowest computed polymorph = 0.00 eV per formula unit
Mass density = 12.45 g cm⁻³
Total DFT energy (no corrections) = -0.825 eV per atom
SG = R-3m, No. 166

Structure (extended XYZ):
```
5
Lattice="-0.559 2.390 2.236 -2.307 2.316 -0.586 -8.911 -5.064 5.648" Properties=species:S:1:pos:R:3 pbc="T T T"
Hg 0.000 0.000 0.000
Hg -4.121 -1.070 2.579
Hg -7.656 0.712 4.720
Cd -8.288 -2.180 5.187
Cd -3.489 1.822 2.111
```


Computed, not measured: a relaxed structure of Re2GeAuI at the PBEsol level of DFT.

Properties
V = 22.85 A^3/atom
Formation energy (no corrections) = 10.908 eV per formula unit
Mass density = 11.18 g cm⁻³
Total DFT energy (no corrections) = -5.277 eV per atom
SG = P4/mmm, No. 123

Structure (extended XYZ):
```
5
Lattice="-2.626 3.364 1.818 -3.717 -2.763 -0.257 1.026 -1.834 4.875" Properties=species:S:1:pos:R:3 pbc="T T T"
I 0.513 -0.917 2.438
Re -1.859 -1.381 -0.128
Re -1.313 1.682 0.909
Ge 0.000 0.000 0.000
Au -2.659 -0.616 3.218
```


Computed, not measured: a relaxed structure of Ba2Ag at the PBEsol level of DFT.

Properties
ΔH_f (0 K) = -138 meV/atom
V = 40.55 A^3/atom
ΔE to the lowest computed polymorph = 0.00 eV per formula unit
Mass density = 5.22 g cm⁻³
Total DFT energy (no corrections) = -2.675 eV per atom
SG = I4/mmm, No. 139

Structure (extended XYZ):
```
3
Lattice="-1.198 3.865 -0.412 -1.536 -0.867 -3.665 -5.086 -3.170 5.138" Properties=species:S:1:pos:R:3 pbc="T T T"
Ba -4.789 -1.240 2.300
Ba -3.032 1.068 -1.239
Ag 0.000 0.000 0.000
```


Computed, not measured: a relaxed structure of Ta2MnMo at the PBEsol level of DFT.

Properties
ΔH_f (0 K) = -165 meV/atom
V = 15.15 A^3/atom
Mass density = 14.05 g cm⁻³
Total DFT energy (no corrections) = -11.823 eV per atom
SG = P4/mmm, No. 123

Structure (extended XYZ):
```
4
Lattice="-2.959 0.397 -0.895 -0.820 -2.562 1.575 -1.071 3.463 5.077" Properties=species:S:1:pos:R:3 pbc="T T T"
Mo -2.425 0.649 2.878
Mn -1.889 -1.083 0.340
Ta -0.813 2.628 3.852
Ta -0.258 0.835 1.225
```


Computed, not measured: a relaxed structure of Cr2TcNi at the PBEsol level of DFT.

Properties
ΔH_f (0 K) = 56 meV/atom
V = 11.63 A^3/atom
Mass density = 9.30 g cm⁻³
Total DFT energy (no corrections) = -9.421 eV per atom
SG = P4/mmm, No. 123

Structure (extended XYZ):
```
4
Lattice="-3.546 -0.036 -0.290 -0.193 -2.433 2.669 -0.225 2.676 2.422" Properties=species:S:1:pos:R:3 pbc="T T T"
Ni -1.982 0.104 2.401
Tc -1.773 -0.018 -0.145
Cr -0.113 1.338 1.211
Cr -0.097 -1.216 1.334
```


Computed, not measured: a relaxed structure of BaHg2P2 at the PBEsol level of DFT.

Properties
ΔH_f (0 K) = -382 meV/atom
V = 24.17 A^3/atom
Mass density = 8.25 g cm⁻³
Total DFT energy (no corrections) = -3.355 eV per atom
SG = I4/mmm, No. 139

Structure (extended XYZ):
```
5
Lattice="-3.148 -1.023 -3.025 -1.835 -2.897 2.889 -1.012 6.338 2.233" Properties=species:S:1:pos:R:3 pbc="T T T"
P -2.885 3.605 1.783
P -3.110 -1.187 0.314
Hg -2.669 0.740 2.527
Hg -3.326 1.677 -0.430
Ba 0.000 0.000 0.000
```


Computed, not measured: a relaxed structure of MnTe3Pd at the PBEsol level of DFT.

Properties
V = 28.18 A^3/atom
Formation energy (no corrections) = 3.019 eV per formula unit
Mass density = 6.41 g cm⁻³
Total DFT energy (no corrections) = -4.656 eV per atom
SG = Pm-3m, No. 221

Structure (extended XYZ):
```
5
Lattice="5.203 0.000 0.000 0.000 5.203 0.000 0.000 0.000 5.203" Properties=species:S:1:pos:R:3 pbc="T T T"
Mn 2.602 2.602 2.602
Te 0.000 2.602 0.000
Te 0.000 0.000 2.602
Te 2.602 0.000 0.000
Pd 0.000 0.000 0.000
```


Computed, not measured: a relaxed structure of Ti3RuC at the PBEsol level of DFT.

Properties
ΔH_f (0 K) = 1580 meV/atom
V = 18.91 A^3/atom
Mass density = 4.51 g cm⁻³
Total DFT energy (no corrections) = -7.376 eV per atom
SG = Pm-3m, No. 221

Structure (extended XYZ):
```
5
Lattice="4.556 0.000 0.000 0.000 4.556 0.000 0.000 0.000 4.556" Properties=species:S:1:pos:R:3 pbc="T T T"
Ru 0.000 0.000 0.000
C 2.278 2.278 2.278
Ti 0.000 2.278 0.000
Ti 0.000 0.000 2.278
Ti 2.278 0.000 0.000
```


Computed, not measured: a relaxed structure of La2H2Ir at the PBEsol level of DFT.

Properties
V = 17.23 A^3/atom
ΔE to the lowest computed polymorph = 0.00 eV per formula unit
Mass density = 9.10 g cm⁻³
Total DFT energy (no corrections) = -6.007 eV per atom
SG = I4/mmm, No. 139

Structure (extended XYZ):
```
5
Lattice="3.611 0.000 0.000 0.000 3.611 0.000 -1.806 -1.806 6.606" Properties=species:S:1:pos:R:3 pbc="T T T"
H 0.000 1.806 3.303
H 1.806 0.000 3.303
Ir 0.000 0.000 0.000
La 0.000 0.000 4.891
La 1.806 1.806 1.715
```


Computed, not measured: a relaxed structure of BeSbTe2I at the PBEsol level of DFT.

Properties
V = 25.57 A^3/atom
Formation energy (no corrections) = 1.647 eV per formula unit
Mass density = 6.66 g cm⁻³
Total DFT energy (no corrections) = -3.146 eV per atom
SG = P4/mmm, No. 123

Structure (extended XYZ):
```
5
Lattice="-4.678 0.716 1.114 0.393 -3.153 3.680 1.407 4.039 3.310" Properties=species:S:1:pos:R:3 pbc="T T T"
I -1.439 0.801 4.052
Sb 0.703 2.020 1.655
Te 0.197 -1.577 1.840
Te -2.339 0.358 0.557
Be 0.000 0.000 0.000
```